BaMg2In6: relaxed, GGA-PBE.

Structure (POSCAR):
```
BaMg2In6
1.0
9.649 0.000 0.000
4.825 8.356 0.000
4.825 2.785 7.878
Mg In Ba
4 12 2
Cartesian
4.825 2.785 4.924
7.237 1.393 0.985
4.825 5.571 0.985
2.412 1.393 0.985
7.185 6.993 1.927
12.113 6.993 1.927
12.113 4.148 5.951
7.185 4.148 0.042
7.185 4.148 5.951
4.825 5.511 3.897
9.649 2.726 1.927
7.185 1.423 3.897
2.464 1.423 3.897
4.825 0.060 0.042
2.464 4.148 0.042
9.649 8.416 5.951
14.474 8.356 5.909
9.649 5.571 3.939
```

Properties
The spin magnetization is 0.0 μB/f.u. The final energy comes out at -2.23 eV/atom. The energy above the most stable polymorph in this dataset comes out at 276 meV/atom. Its formation energy is 161 meV/atom.